Crystalline CsCrAs2O8 at its relaxed geometry. Source: the Alexandria database, functional PBE with a Hubbard U.

Values from the calculation:
The volume is 232 Å³/f.u. Its total energy is -0.2191 Ha/atom.

a = 5.4304 Å, b = 5.4304 Å, c = 9.6149 Å
α = 73.60°, β = 73.60°, γ = 60.00°
Last column: nearest neighbours and their distance in Å.
Fractional coordinates of all 12 atoms:
Cs 0.0000 0.0000 0.0000  6 O 3.34
Cr 0.5000 0.5000 0.5000  6 O 1.90
As 0.7706 0.7706 0.6883  4 O 1.68-1.72
As 0.2294 0.2294 0.3117  4 O 1.68-1.72
O 0.7090 0.7090 0.8731  1 As 1.68
O 0.2910 0.2910 0.1269  1 As 1.68
O 0.3819 0.3819 0.3727  1 As 1.72, 1 Cr 1.90
O 0.6181 0.6181 0.6273  1 As 1.72, 1 Cr 1.90
O 0.1365 0.6181 0.6273  1 As 1.72, 1 Cr 1.90
O 0.3819 0.8635 0.3727  1 As 1.72, 1 Cr 1.90
O 0.8635 0.3819 0.3727  1 As 1.72, 1 Cr 1.90
O 0.6181 0.1365 0.6273  1 As 1.72, 1 Cr 1.90